Density functional theory data (PBE) for a geometry-optimized Ac5Sn3H structure.

Its density is 8.19 Mg/m³. For the total energy, the calculation gives -0.33893 Ry/atom. The calculation puts the magnetization at 0.000 μB per formula unit.

Cell lengths 9.8580, 9.8580, 7.1923 Å; angles 90.00, 90.00, 120.00 degrees
Last column: nearest neighbours and their distance in Å.
Element x y z (fractional)
Ac (0.0000, 0.2466, 0.2500)  2 H 3.02, 2 Sn 3.38
Ac (0.0000, 0.7534, 0.7500)  2 H 3.02, 2 Sn 3.38
Ac (0.2466, 0.0000, 0.2500)  2 H 3.02, 2 Sn 3.38
Ac (0.2466, 0.2466, 0.7500)  2 H 3.02, 2 Sn 3.38
Ac (0.3333, 0.6667, 0.0000)  6 Sn 3.53, 2 Ac 3.60
Ac (0.3333, 0.6667, 0.5000)  6 Sn 3.53, 2 Ac 3.60
Ac (0.6667, 0.3333, 0.0000)  6 Sn 3.53, 2 Ac 3.60
Ac (0.6667, 0.3333, 0.5000)  6 Sn 3.53, 2 Ac 3.60
Ac (0.7534, 0.0000, 0.7500)  2 H 3.02, 2 Sn 3.38
Ac (0.7534, 0.7534, 0.2500)  2 H 3.02, 2 Sn 3.38
Sn (0.0000, 0.3913, 0.7500)  7 Ac 3.38-3.57
Sn (0.0000, 0.6087, 0.2500)  7 Ac 3.38-3.57
Sn (0.3913, 0.0000, 0.7500)  7 Ac 3.38-3.57
Sn (0.3913, 0.3913, 0.2500)  7 Ac 3.38-3.57
Sn (0.6087, 0.0000, 0.2500)  7 Ac 3.38-3.57
Sn (0.6087, 0.6087, 0.7500)  7 Ac 3.38-3.57
H (0.0000, 0.0000, 0.0000)  6 Ac 3.02
H (0.0000, 0.0000, 0.5000)  6 Ac 3.02

---

Density functional theory data (PBE) for a geometry-optimized Li2IrC structure.

Its density is 6.42 Mg/m³. The calculation puts the magnetization at 0.000 μB per formula unit. The energy relative to the lowest polymorph listed for this composition is 0.000 eV/atom. The energy of formation from the pure elements is 0.204 eV per atom.

Cell lengths 5.7446, 5.7446, 5.7446 Å; angles 96.45, 96.45, 140.84 degrees
Last column: nearest neighbours and their distance in Å.
Element x y z (fractional)
Li (0.3750, 0.2488, 0.3738)  2 C 2.19
Li (0.7512, 0.1250, 0.1262)  2 C 2.19
Li (0.8750, 0.0012, 0.6262)  2 C 2.19
Li (0.9988, 0.6250, 0.8738)  2 C 2.19
Ir (0.2500, 0.7500, 0.5000)  2 C 1.92
Ir (0.5000, 0.5000, 0.0000)  2 C 1.92
C (0.0000, 0.0000, 0.0000)  2 Ir 1.92
C (0.7500, 0.2500, 0.5000)  2 Ir 1.92

---

Density functional theory data (PBE) for a geometry-optimized KNa2Os2O7 structure.

Its formation energy without anion corrections is -14.7 eV per formula unit. Its density is 6.32 Mg/m³. The calculation puts the magnetization at 1.978 μB per formula unit.

Cell lengths 10.3224, 10.3224, 10.3224 Å; angles 158.18, 158.18, 31.05 degrees
Last column: nearest neighbours and their distance in Å.
Element x y z (fractional)
K (0.0000, 0.0000, 0.0000)  12 O 2.76-2.78
Na (0.2500, 0.7500, 0.5000)  4 O 2.23
Na (0.7500, 0.2500, 0.5000)  4 O 2.23
Os (0.3996, 0.3996, 0.0000)  6 O 1.91-2.00
Os (0.6004, 0.6004, 0.0000)  6 O 1.91-2.00
O (0.0996, 0.5996, 0.5000)  2 Os 1.95
O (0.3037, 0.3037, 0.0000)  1 Os 1.91
O (0.4004, 0.9004, 0.5000)  2 Os 1.95
O (0.5000, 0.5000, 0.0000)  2 Os 2.00
O (0.5996, 0.0996, 0.5000)  2 Os 1.95
O (0.6963, 0.6963, 0.0000)  1 Os 1.91
O (0.9004, 0.4004, 0.5000)  2 Os 1.95

---

Density functional theory data (PBE) for a geometry-optimized MgGe2P3 structure.

Its density is 3.35 Mg/m³. The calculation puts the magnetization at 0.000 μB per formula unit. The energy of formation from the pure elements is -0.136 eV per atom.

Cell lengths 6.7679, 6.7679, 6.6446 Å; angles 92.37, 92.37, 120.93 degrees
Last column: nearest neighbours and their distance in Å.
Element x y z (fractional)
Mg (0.0901, 0.9099, 0.5000)  4 P 2.55-2.70
Mg (0.9099, 0.0901, 0.0000)  4 P 2.55-2.70
Ge (0.2424, 0.7299, 0.0020)  4 P 2.36-2.43
Ge (0.4044, 0.5737, 0.4756)  4 P 2.34-2.43
Ge (0.5737, 0.4044, 0.9756)  4 P 2.34-2.43
Ge (0.7299, 0.2424, 0.5020)  4 P 2.36-2.43
P (0.0485, 0.2391, 0.3755)  2 Ge 2.35-2.36, 2 Mg 2.55-2.60
P (0.2391, 0.0485, 0.8755)  2 Ge 2.35-2.36, 2 Mg 2.55-2.60
P (0.4162, 0.8908, 0.3341)  3 Ge 2.34-2.41, 1 Mg 2.57
P (0.5366, 0.7011, 0.8289)  3 Ge 2.39-2.43
P (0.7011, 0.5366, 0.3289)  3 Ge 2.39-2.43
P (0.8908, 0.4162, 0.8341)  3 Ge 2.34-2.41, 1 Mg 2.57

---

Density functional theory data (PBE) for a geometry-optimized OsS2NO structure.

Its formation energy without anion corrections is 8.9 eV per formula unit. Its density is 8.02 Mg/m³. The calculation puts the magnetization at 0.000 μB per formula unit. The energy relative to the lowest polymorph listed for this composition is 0.706 eV/atom.

Cell lengths 3.9736, 3.9736, 3.7306 Å; angles 90.00, 90.00, 90.00 degrees
Last column: nearest neighbours and their distance in Å.
Element x y z (fractional)
Os (0.0000, 0.0000, 0.0000)  8 S 2.73, 4 N 2.81
S (0.0000, 0.5000, 0.5000)  2 O 1.99
S (0.5000, 0.0000, 0.5000)  2 O 1.99
N (0.5000, 0.5000, 0.0000)  2 O 1.87
O (0.5000, 0.5000, 0.5000)  2 N 1.87, 4 S 1.99

---

Density functional theory data (PBE) for a geometry-optimized Nd2Y6Tm3In structure.

Its density is 6.43 Mg/m³. The calculation puts the magnetization at 0.000 μB per formula unit. The energy of formation from the pure elements is -0.051 eV per atom.

Cell lengths 6.1091, 6.1091, 11.7217 Å; angles 94.99, 94.99, 120.02 degrees
Last column: nearest neighbours and their distance in Å.
Element x y z (fractional)
Nd (0.1662, 0.8338, 0.0000)  3 Nd 3.52-3.53, 3 In 3.52-3.53, 6 Y 3.55
Nd (0.8338, 0.1662, 0.0000)  3 Nd 3.52-3.53, 3 In 3.52-3.53, 6 Y 3.55
Y (0.0897, 0.4167, 0.7493)  6 Y 3.46-3.56, 3 Tm 3.51-3.55, 1 In 3.52, 2 Nd 3.55
Y (0.2566, 0.2566, 0.2515)  6 Y 3.46-3.56, 3 Tm 3.51-3.54, 1 In 3.52, 2 Nd 3.55
Y (0.4167, 0.0897, 0.7493)  6 Y 3.46-3.56, 3 Tm 3.51-3.55, 1 In 3.52, 2 Nd 3.55
Y (0.5833, 0.9103, 0.2507)  6 Y 3.46-3.56, 3 Tm 3.51-3.55, 1 In 3.52, 2 Nd 3.55
Y (0.7434, 0.7434, 0.7485)  6 Y 3.46-3.56, 3 Tm 3.51-3.54, 1 In 3.52, 2 Nd 3.55
Y (0.9103, 0.5833, 0.2507)  6 Y 3.46-3.56, 3 Tm 3.51-3.55, 1 In 3.52, 2 Nd 3.55
Tm (0.0000, 0.0000, 0.5000)  6 Y 3.51-3.54, 6 Tm 3.52-3.53
Tm (0.3337, 0.6663, 0.5000)  6 Y 3.51-3.55, 6 Tm 3.52-3.53
Tm (0.6663, 0.3337, 0.5000)  6 Y 3.51-3.55, 6 Tm 3.52-3.53
In (0.5000, 0.5000, 0.0000)  6 Y 3.52, 6 Nd 3.52-3.53

---

Density functional theory data (PBE) for a geometry-optimized ErCd2Rh structure.

Its density is 10.00 Mg/m³. The calculation puts the magnetization at 0.000 μB per formula unit. The energy of formation from the pure elements is -0.355 eV per atom.

Cell lengths 4.0693, 4.0693, 4.9660 Å; angles 90.00, 90.00, 90.00 degrees
Last column: nearest neighbours and their distance in Å.
Element x y z (fractional)
Er (0.0000, 0.0000, 0.0000)  4 Rh 2.88, 8 Cd 3.21
Cd (0.0000, 0.5000, 0.5000)  4 Cd 2.88, 4 Er 3.21, 4 Rh 3.21
Cd (0.5000, 0.0000, 0.5000)  4 Cd 2.88, 4 Er 3.21, 4 Rh 3.21
Rh (0.5000, 0.5000, 0.0000)  4 Er 2.88, 8 Cd 3.21

---

Density functional theory data (PBE) for a geometry-optimized V3NiSb structure.

Its formation energy without anion corrections is 3.0 eV per formula unit. Its density is 6.59 Mg/m³. The calculation puts the magnetization at 0.007 μB per formula unit. The energy relative to the lowest polymorph listed for this composition is 0.000 eV/atom.

Cell lengths 4.3796, 4.3796, 4.3796 Å; angles 90.00, 90.00, 90.00 degrees
Last column: nearest neighbours and their distance in Å.
Element x y z (fractional)
V (0.0000, 0.0000, 0.5000)  2 Ni 2.19
V (0.0000, 0.5000, 0.0000)  2 Ni 2.19
V (0.5000, 0.0000, 0.0000)  2 Ni 2.19
Ni (0.0000, 0.0000, 0.0000)  6 V 2.19
Sb (0.5000, 0.5000, 0.5000)  12 V 3.10

---

Density functional theory data (PBE) for a geometry-optimized Ta4Cu3P structure.

Its density is 10.95 Mg/m³. The calculation puts the magnetization at 0.000 μB per formula unit. The energy of formation from the pure elements is 0.844 eV per atom.

Cell lengths 5.2335, 5.2335, 5.2335 Å; angles 90.00, 90.00, 90.00 degrees
Last column: nearest neighbours and their distance in Å.
Element x y z (fractional)
Ta (0.1836, 0.1836, 0.8164)  3 Cu 2.53, 3 Ta 2.72
Ta (0.1836, 0.8164, 0.1836)  3 Cu 2.53, 3 Ta 2.72
Ta (0.8164, 0.1836, 0.1836)  3 Cu 2.53, 3 Ta 2.72
Ta (0.8164, 0.8164, 0.8164)  3 Cu 2.53, 3 Ta 2.72
Cu (0.0000, 0.5000, 0.5000)  4 Ta 2.53, 2 P 2.62
Cu (0.5000, 0.0000, 0.5000)  4 Ta 2.53, 2 P 2.62
Cu (0.5000, 0.5000, 0.0000)  4 Ta 2.53, 2 P 2.62
P (0.5000, 0.5000, 0.5000)  6 Cu 2.62, 4 Ta 2.87

---

Density functional theory data (PBE) for a geometry-optimized GePdSe2Br structure.

Its formation energy without anion corrections is 1.4 eV per formula unit. Its density is 5.56 Mg/m³. The calculation puts the magnetization at 0.000 μB per formula unit. The energy relative to the lowest polymorph listed for this composition is 0.000 eV/atom.

Cell lengths 4.9668, 4.9668, 5.0511 Å; angles 90.00, 90.00, 90.00 degrees
Last column: nearest neighbours and their distance in Å.
Element x y z (fractional)
Ge (0.0000, 0.0000, 0.0000)  4 Br 3.51, 8 Se 3.54
Pd (0.5000, 0.5000, 0.5000)  4 Se 2.48, 2 Br 2.53
Se (0.0000, 0.5000, 0.5000)  2 Pd 2.48
Se (0.5000, 0.0000, 0.5000)  2 Pd 2.48
Br (0.5000, 0.5000, 0.0000)  2 Pd 2.53

---

Density functional theory data (PBE) for a geometry-optimized RuPtSe2 structure.

Its formation energy without anion corrections is 1.0 eV per formula unit. Its density is 11.56 Mg/m³. The calculation puts the magnetization at 0.001 μB per formula unit. The energy relative to the lowest polymorph listed for this composition is 0.318 eV/atom.

Cell lengths 3.1111, 3.1111, 6.7402 Å; angles 90.00, 90.00, 90.00 degrees
Last column: nearest neighbours and their distance in Å.
Element x y z (fractional)
Ru (0.0000, 0.0000, 0.0000)  8 Se 2.71
Pt (0.0000, 0.0000, 0.5000)  8 Se 2.84, 4 Pt 3.11
Se (0.5000, 0.5000, 0.2341)  4 Ru 2.71, 4 Pt 2.84
Se (0.5000, 0.5000, 0.7659)  4 Ru 2.71, 4 Pt 2.84

---

Density functional theory data (PBE) for a geometry-optimized BaZn2Re structure.

Its density is 9.05 Mg/m³. The calculation puts the magnetization at 0.001 μB per formula unit. The energy relative to the lowest polymorph listed for this composition is 0.304 eV/atom. The energy of formation from the pure elements is 0.765 eV per atom.

Cell lengths 6.0890, 6.0890, 6.0890 Å; angles 152.19, 127.06, 60.85 degrees
Last column: nearest neighbours and their distance in Å.
Element x y z (fractional)
Ba (0.0000, 0.0000, 0.0000)  2 Ba 2.93, 4 Zn 3.09, 2 Re 3.27
Zn (0.4862, 0.4862, 0.0000)  2 Re 2.63, 4 Zn 2.78-2.93
Zn (0.7114, 0.2114, 0.5000)  4 Zn 2.78-2.93
Re (0.2783, 0.7783, 0.5000)  2 Zn 2.63, 2 Re 2.93

---

Density functional theory data (PBE) for a geometry-optimized BRh3Pb structure.

Its density is 11.27 Mg/m³. The calculation puts the magnetization at 0.000 μB per formula unit. The energy relative to the lowest polymorph listed for this composition is 0.243 eV/atom. The energy of formation from the pure elements is 0.020 eV per atom.

Cell lengths 5.3999, 7.2221, 7.9635 Å; angles 90.00, 90.00, 90.00 degrees
Last column: nearest neighbours and their distance in Å.
Element x y z (fractional)
B (0.0408, 0.2500, 0.0419)  4 Rh 2.11-2.17
B (0.4592, 0.7500, 0.5419)  4 Rh 2.11-2.17
B (0.5408, 0.2500, 0.4581)  4 Rh 2.11-2.17
B (0.9592, 0.7500, 0.9581)  4 Rh 2.11-2.17
Rh (0.0232, 0.5662, 0.1592)  1 B 2.11
Rh (0.0232, 0.9338, 0.1592)  1 B 2.11
Rh (0.2473, 0.2500, 0.2752)  2 B 2.15-2.17
Rh (0.2527, 0.7500, 0.7752)  2 B 2.15-2.17
Rh (0.4768, 0.0662, 0.6592)  1 B 2.11
Rh (0.4768, 0.4338, 0.6592)  1 B 2.11
Rh (0.5232, 0.5662, 0.3408)  1 B 2.11
Rh (0.5232, 0.9338, 0.3408)  1 B 2.11
Rh (0.7473, 0.2500, 0.2248)  2 B 2.15-2.17
Rh (0.7527, 0.7500, 0.7248)  2 B 2.15-2.17
Rh (0.9768, 0.0662, 0.8408)  1 B 2.11
Rh (0.9768, 0.4338, 0.8408)  1 B 2.11
Pb (0.0000, 0.0000, 0.5000)  6 Rh 2.76-2.91, 2 B 3.09
Pb (0.0000, 0.5000, 0.5000)  6 Rh 2.76-2.91, 2 B 3.09
Pb (0.5000, 0.0000, 0.0000)  6 Rh 2.76-2.91, 2 B 3.09
Pb (0.5000, 0.5000, 0.0000)  6 Rh 2.76-2.91, 2 B 3.09

---

Density functional theory data (PBE) for a geometry-optimized Ac2Mg6AlIn structure.

Its density is 4.20 Mg/m³. The calculation puts the magnetization at 0.000 μB per formula unit. The energy of formation from the pure elements is -0.015 eV per atom.

Cell lengths 7.9705, 9.9415, 7.4096 Å; angles 90.00, 90.00, 90.00 degrees
Last column: nearest neighbours and their distance in Å.
Element x y z (fractional)
Ac (0.2500, 0.0189, 0.2316)  1 Al 3.29, 1 In 3.53, 1 Mg 3.66
Ac (0.2500, 0.4811, 0.2316)  1 Al 3.29, 1 In 3.53, 1 Mg 3.66
Ac (0.7500, 0.5189, 0.7684)  1 Al 3.29, 1 In 3.53, 1 Mg 3.66
Ac (0.7500, 0.9811, 0.7684)  1 Al 3.29, 1 In 3.53, 1 Mg 3.66
Mg (0.0642, 0.2500, 0.8908)  1 In 2.87, 1 Al 2.94, 3 Mg 2.96-3.12
Mg (0.0722, 0.7500, 0.5404)  1 Al 2.65, 1 Mg 2.83
Mg (0.2500, 0.0030, 0.7257)  1 Al 2.78, 1 In 2.90
Mg (0.2500, 0.4970, 0.7257)  1 Al 2.78, 1 In 2.90
Mg (0.4278, 0.7500, 0.5404)  1 Al 2.65, 1 Mg 2.83
Mg (0.4358, 0.2500, 0.8908)  1 In 2.87, 1 Al 2.94, 3 Mg 2.96-3.12
Mg (0.5642, 0.7500, 0.1092)  1 In 2.87, 1 Al 2.94, 3 Mg 2.96-3.12
Mg (0.5722, 0.2500, 0.4596)  1 Al 2.65, 1 Mg 2.83
Mg (0.7500, 0.5030, 0.2743)  1 Al 2.78, 1 In 2.90
Mg (0.7500, 0.9970, 0.2743)  1 Al 2.78, 1 In 2.90
Mg (0.9278, 0.2500, 0.4596)  1 Al 2.65, 1 Mg 2.83
Mg (0.9358, 0.7500, 0.1092)  1 In 2.87, 1 Al 2.94, 3 Mg 2.96-3.12
Al (0.2500, 0.2500, 0.5488)  6 Mg 2.65-2.94
Al (0.7500, 0.7500, 0.4512)  6 Mg 2.65-2.94
In (0.2500, 0.7500, 0.9195)  6 Mg 2.87-3.15
In (0.7500, 0.2500, 0.0805)  6 Mg 2.87-3.15